1.
This record from the Alexandria database describes a relaxed ReTc2MoH crystal. The functional is PBE-GGA.

Calculated values
Magnetic moment   0.00 μB/f.u.
Energy above the lowest structure with this stoichiometry   0.020 eV/atom
E   -46.9 eV/cell

Geometry as CIF:
```
data_ReTc2MoH
_chemical_formula_sum 'Re1 Tc2 Mo1 H1'
_cell_length_a 3.9543
_cell_length_b 3.9543
_cell_length_c 3.9688
_cell_angle_alpha 90.00
_cell_angle_beta 90.00
_cell_angle_gamma 90.00
_symmetry_space_group_name_H-M 'P 4/m m m'
_symmetry_Int_Tables_number 123
_symmetry_space_group_name_Hall '-P 4 2'
loop_
_atom_site_label
_atom_site_type_symbol
_atom_site_fract_x
_atom_site_fract_y
_atom_site_fract_z
Re1 Re 0.0000 0.0000 0.0000
Tc1 Tc 0.0000 0.5000 0.5000
Mo1 Mo 0.5000 0.5000 0.0000
H1 H 0.0000 0.0000 0.5000
```


2.
This record from the Alexandria database describes a relaxed ReTcMo2H crystal. The functional is PBE-GGA.

Calculated values
Magnetic moment   0.00 μB/f.u.
Energy above the lowest structure with this stoichiometry   0.033 eV/atom
E   -47.1 eV/cell

Geometry as CIF:
```
data_ReTcMo2H
_chemical_formula_sum 'Re1 Tc1 Mo2 H1'
_cell_length_a 4.0012
_cell_length_b 4.0012
_cell_length_c 3.9666
_cell_angle_alpha 90.00
_cell_angle_beta 90.00
_cell_angle_gamma 90.00
_symmetry_space_group_name_H-M 'P 4/m m m'
_symmetry_Int_Tables_number 123
_symmetry_space_group_name_Hall '-P 4 2'
loop_
_atom_site_label
_atom_site_type_symbol
_atom_site_fract_x
_atom_site_fract_y
_atom_site_fract_z
Re1 Re 0.0000 0.0000 0.0000
Tc1 Tc 0.5000 0.5000 0.0000
Mo1 Mo 0.0000 0.5000 0.5000
H1 H 0.0000 0.0000 0.5000
```


3.
This record from the Alexandria database describes a relaxed TlReMo2H crystal. The functional is PBE-GGA.

Calculated values
Magnetic moment   0.00 μB/f.u.
E   -21.8 eV/cell

Geometry as CIF:
```
data_TlReMo2H
_chemical_formula_sum 'Tl1 Re1 Mo2 H1'
_cell_length_a 5.0366
_cell_length_b 5.0366
_cell_length_c 4.9619
_cell_angle_alpha 90.00
_cell_angle_beta 90.00
_cell_angle_gamma 90.00
_symmetry_space_group_name_H-M 'P 4/m m m'
_symmetry_Int_Tables_number 123
_symmetry_space_group_name_Hall '-P 4 2'
loop_
_atom_site_label
_atom_site_type_symbol
_atom_site_fract_x
_atom_site_fract_y
_atom_site_fract_z
Tl1 Tl 0.0000 0.0000 0.0000
Re1 Re 0.0000 0.0000 0.5000
Mo1 Mo 0.0000 0.5000 0.0000
H1 H 0.5000 0.5000 0.5000
```


- What is the magnetic moment in the first record?
  0.00 μB/f.u.


- What is the magnetic moment in the third record?
  0.00 μB/f.u.


- Among the records above, which one has the lowest E?
  ReTcMo2H